Entry 1:
Entry from Alexandria via LeMat-Bulk: a relaxed MnInSN2 crystal (PBE).

formation energy (no corrections) = 0.514 eV per atom
symmetry = P4/mmm, No. 123
E above lowest polymorph = 90 meV per atom

abc: 3.607 3.607 6.025
angles: 90.00 90.00 90.00
Fractional positions:
1 Mn 0.000 0.000 0.000
2 In 0.000 0.000 0.500
3 S 0.500 0.500 0.500
4 N 0.000 0.500 0.000
5 N 0.500 0.000 0.000


Entry 2:
Entry from Alexandria via LeMat-Bulk: a relaxed Er2Th3Sc6 crystal (PBE).

calculated formation energy = 2.4 eV/f.u.
symmetry = C2/m, No. 12

abc: 5.927 5.927 10.831
angles: 95.24 95.24 120.03
Fractional positions:
1 Er 0.166 0.834 0.000
2 Er 0.834 0.166 0.000
3 Th 0.000 0.000 0.500
4 Th 0.334 0.666 0.500
5 Th 0.666 0.334 0.500
6 Sc 0.086 0.416 0.748
7 Sc 0.254 0.254 0.252
8 Sc 0.416 0.086 0.748
9 Sc 0.584 0.914 0.252
10 Sc 0.746 0.746 0.748
11 Sc 0.914 0.584 0.252


Entry 3:
Entry from Alexandria via LeMat-Bulk: a relaxed HfMnOs crystal (PBE).

calculated formation energy = -0.7 eV/f.u.
symmetry = Cmcm, No. 63
E above lowest polymorph = 171 meV per atom

abc: 6.912 6.912 4.463
angles: 90.00 90.00 153.05
Fractional positions:
1 Hf 0.088 0.912 0.750
2 Hf 0.912 0.088 0.250
3 Mn 0.239 0.761 0.250
4 Mn 0.761 0.239 0.750
5 Os 0.414 0.586 0.750
6 Os 0.586 0.414 0.250


Entry 4:
Entry from Alexandria via LeMat-Bulk: a relaxed K2CdSn3Pd4 crystal (PBE).

calculated formation energy = -3.9 eV/f.u.
symmetry = P-4m2, No. 115

abc: 4.771 4.771 10.687
angles: 90.00 90.00 90.00
Fractional positions:
1 K 0.000 0.500 0.245
2 K 0.500 0.000 0.755
3 Cd 0.000 0.000 0.500
4 Sn 0.000 0.500 0.883
5 Sn 0.500 0.000 0.117
6 Sn 0.500 0.500 0.500
7 Pd 0.000 0.000 0.000
8 Pd 0.000 0.500 0.630
9 Pd 0.500 0.000 0.370
10 Pd 0.500 0.500 0.000


Entry 5:
Entry from Alexandria via LeMat-Bulk: a relaxed MgSeI crystal (PBE).

formation energy (no corrections) = -0.857 eV per atom
symmetry = C2/m, No. 12
E above lowest polymorph = 0 meV per atom

abc: 7.332 7.332 4.750
angles: 95.90 95.90 57.87
Fractional positions:
1 Mg 0.241 0.759 0.000
2 Mg 0.759 0.241 0.000
3 Se 0.081 0.081 0.388
4 Se 0.919 0.919 0.612
5 I 0.356 0.356 0.168
6 I 0.644 0.644 0.832


Entry 6:
Entry from Alexandria via LeMat-Bulk: a relaxed KScW2 crystal (PBE).

calculated formation energy = 5.0 eV/f.u.
symmetry = C2/m, No. 12
E above lowest polymorph = 632 meV per atom

abc: 6.037 6.037 2.726
angles: 95.20 95.20 125.48
Fractional positions:
1 K 0.000 0.000 0.000
2 Sc 0.500 0.500 0.000
3 W 0.000 0.500 0.500
4 W 0.500 0.000 0.500


Entry 7:
Entry from Alexandria via LeMat-Bulk: a relaxed LaTm2Tl3Se6 crystal (PBE).

formation energy (no corrections) = -1.397 eV per atom
symmetry = C2/m, No. 12

abc: 7.330 7.330 8.129
angles: 98.65 98.65 119.96
Fractional positions:
1 La 0.000 0.000 0.000
2 Tm 0.333 0.667 0.000
3 Tm 0.667 0.333 0.000
4 Tl 0.164 0.836 0.500
5 Tl 0.500 0.500 0.500
6 Tl 0.836 0.164 0.500
7 Se 0.069 0.417 0.206
8 Se 0.281 0.281 0.798
9 Se 0.417 0.069 0.206
10 Se 0.583 0.931 0.794
11 Se 0.719 0.719 0.202
12 Se 0.931 0.583 0.794


Entry 8:
Entry from Alexandria via LeMat-Bulk: a relaxed ZrVTcSn crystal (PBE).

calculated formation energy = -0.8 eV/f.u.
symmetry = F-43m, No. 216

abc: 4.642 4.642 4.642
angles: 60.00 60.00 60.00
Fractional positions:
1 Zr 0.000 0.000 0.000
2 V 0.250 0.250 0.250
3 Tc 0.750 0.750 0.750
4 Sn 0.500 0.500 0.500


Entry 9:
Entry from Alexandria via LeMat-Bulk: a relaxed ZnInSe2 crystal (PBE).

formation energy (no corrections) = -0.441 eV per atom
symmetry = R-3m, No. 166

abc: 6.920 6.920 6.920
angles: 33.32 33.32 33.32
Fractional positions:
1 Zn 0.000 0.000 0.000
2 In 0.500 0.500 0.500
3 Se 0.258 0.258 0.258
4 Se 0.742 0.742 0.742


Entry 10:
Entry from Alexandria via LeMat-Bulk: a relaxed Sm2Dy4HoEr2 crystal (PBE).

calculated formation energy = 0.1 eV/f.u.
symmetry = C2/m, No. 12

abc: 9.470 9.470 9.523
angles: 115.24 115.24 21.81
Fractional positions:
1 Sm 0.148 0.148 0.167
2 Sm 0.852 0.852 0.833
3 Dy 0.185 0.185 0.832
4 Dy 0.482 0.482 0.169
5 Dy 0.518 0.518 0.831
6 Dy 0.815 0.815 0.168
7 Ho 0.000 0.000 0.500
8 Er 0.333 0.333 0.499
9 Er 0.667 0.667 0.501


Entry 11:
Entry from Alexandria via LeMat-Bulk: a relaxed TlCo2CuBr8 crystal (PBE).

formation energy (no corrections) = -0.347 eV per atom
symmetry = R-3, No. 148

abc: 10.343 10.343 10.343
angles: 37.10 37.10 37.10
Fractional positions:
1 Tl 0.000 0.000 0.000
2 Co 0.245 0.245 0.245
3 Co 0.755 0.755 0.755
4 Cu 0.500 0.500 0.500
5 Br 0.124 0.443 0.771
6 Br 0.229 0.876 0.557
7 Br 0.326 0.326 0.326
8 Br 0.443 0.771 0.124
9 Br 0.557 0.229 0.876
10 Br 0.674 0.674 0.674
11 Br 0.771 0.124 0.443
12 Br 0.876 0.557 0.229


Entry 12:
Entry from Alexandria via LeMat-Bulk: a relaxed RbCeCdSe3 crystal (PBE).

formation energy (no corrections) = -1.294 eV per atom
symmetry = P2_1/m, No. 11

abc: 9.345 4.411 10.412
angles: 90.00 106.91 90.00
Fractional positions:
1 Rb 0.209 0.250 0.232
2 Rb 0.791 0.750 0.768
3 Ce 0.329 0.750 0.859
4 Ce 0.671 0.250 0.141
5 Cd 0.087 0.250 0.609
6 Cd 0.913 0.750 0.391
7 Se 0.111 0.250 0.867
8 Se 0.215 0.750 0.538
9 Se 0.462 0.750 0.151
10 Se 0.538 0.250 0.849
11 Se 0.785 0.250 0.462
12 Se 0.889 0.750 0.133


Entry 13:
Entry from Alexandria via LeMat-Bulk: a relaxed Er4BiOs crystal (PBE).

calculated formation energy = -1.9 eV/f.u.
symmetry = Fddd, No. 70
E above lowest polymorph = 169 meV per atom

abc: 8.534 8.515 7.158
angles: 65.31 65.04 49.65
Fractional positions:
1 Er 0.002 0.498 0.217
2 Er 0.217 0.782 0.002
3 Er 0.218 0.783 0.502
4 Er 0.498 0.002 0.782
5 Er 0.502 0.998 0.218
6 Er 0.782 0.217 0.498
7 Er 0.783 0.218 0.998
8 Er 0.998 0.502 0.783
9 Bi 0.375 0.375 0.375
10 Bi 0.625 0.625 0.625
11 Os 0.125 0.125 0.125
12 Os 0.875 0.875 0.875


Entry 14:
Entry from Alexandria via LeMat-Bulk: a relaxed Na2Sn2Ge crystal (PBE).

calculated formation energy = 0.9 eV/f.u.
symmetry = P4/mbm, No. 127
E above lowest polymorph = 241 meV per atom

abc: 7.388 7.388 4.666
angles: 90.00 90.00 90.00
Fractional positions:
1 Na 0.137 0.363 0.000
2 Na 0.363 0.863 0.000
3 Na 0.637 0.137 0.000
4 Na 0.863 0.637 0.000
5 Sn 0.171 0.671 0.500
6 Sn 0.329 0.171 0.500
7 Sn 0.671 0.829 0.500
8 Sn 0.829 0.329 0.500
9 Ge 0.000 0.000 0.000
10 Ge 0.500 0.500 0.000


Entry 15:
Entry from Alexandria via LeMat-Bulk: a relaxed Ac2CeSi2Ni7 crystal (PBE).

formation energy (no corrections) = -0.445 eV per atom
symmetry = C2/m, No. 12

abc: 4.116 4.116 12.508
angles: 94.49 94.49 89.03
Fractional positions:
1 Ac 0.084 0.084 0.351
2 Ac 0.916 0.916 0.649
3 Ce 0.000 0.000 0.000
4 Si 0.440 0.440 0.774
5 Si 0.560 0.560 0.226
6 Ni 0.041 0.528 0.142
7 Ni 0.420 0.420 0.584
8 Ni 0.472 0.959 0.858
9 Ni 0.500 0.500 0.000
10 Ni 0.528 0.041 0.142
11 Ni 0.580 0.580 0.416
12 Ni 0.959 0.472 0.858


Entry 16:
Entry from Alexandria via LeMat-Bulk: a relaxed Y6Zn5Pt crystal (PBE).

calculated formation energy = -6.2 eV/f.u.
symmetry = Cmmm, No. 65

abc: 7.968 7.968 7.119
angles: 90.00 90.00 143.12
Fractional positions:
1 Y 0.000 0.000 0.244
2 Y 0.000 0.000 0.756
3 Y 0.336 0.664 0.248
4 Y 0.336 0.664 0.752
5 Y 0.664 0.336 0.248
6 Y 0.664 0.336 0.752
7 Zn 0.168 0.832 0.500
8 Zn 0.174 0.826 0.000
9 Zn 0.500 0.500 0.500
10 Zn 0.826 0.174 0.000
11 Zn 0.832 0.168 0.500
12 Pt 0.500 0.500 0.000


Entry 17:
Entry from Alexandria via LeMat-Bulk: a relaxed Dy8Mg2Hg crystal (PBE).

calculated formation energy = -0.2 eV/f.u.
symmetry = C2/m, No. 12

abc: 9.296 9.296 7.176
angles: 106.92 106.92 33.28
Fractional positions:
1 Dy 0.021 0.021 0.264
2 Dy 0.192 0.192 0.775
3 Dy 0.336 0.336 0.548
4 Dy 0.405 0.405 0.046
5 Dy 0.595 0.595 0.954
6 Dy 0.664 0.664 0.452
7 Dy 0.808 0.808 0.225
8 Dy 0.979 0.979 0.736
9 Mg 0.187 0.187 0.198
10 Mg 0.813 0.813 0.802
11 Hg 0.500 0.500 0.500


Entry 18:
Entry from Alexandria via LeMat-Bulk: a relaxed Dy2Th7Sc2 crystal (PBE).

calculated formation energy = 1.6 eV/f.u.
symmetry = C2/m, No. 12

abc: 10.257 10.257 3.593
angles: 97.87 97.87 67.94
Fractional positions:
1 Dy 0.198 0.198 0.183
2 Dy 0.802 0.802 0.817
3 Th 0.000 0.000 0.500
4 Th 0.091 0.581 0.326
5 Th 0.392 0.392 0.795
6 Th 0.419 0.909 0.674
7 Th 0.581 0.091 0.326
8 Th 0.608 0.608 0.205
9 Th 0.909 0.419 0.674
10 Sc 0.251 0.749 0.000
11 Sc 0.749 0.251 0.000


Entry 19:
Entry from Alexandria via LeMat-Bulk: a relaxed Al2SbRh crystal (PBE).

formation energy (no corrections) = -0.343 eV per atom
symmetry = Cm, No. 8

abc: 4.665 4.665 6.370
angles: 111.00 111.00 38.08
Fractional positions:
1 Al 0.000 0.000 0.000
2 Al 0.190 0.190 0.690
3 Sb 0.372 0.372 0.413
4 Rh 0.729 0.729 0.024


Entry 20:
Entry from Alexandria via LeMat-Bulk: a relaxed Hf6Os2S crystal (PBE).

formation energy (no corrections) = -0.503 eV per atom
symmetry = P2_1/c, No. 14

abc: 5.898 6.655 10.730
angles: 90.00 120.46 90.00
Fractional positions:
1 Hf 0.088 0.192 0.438
2 Hf 0.088 0.308 0.938
3 Hf 0.272 0.657 0.438
4 Hf 0.272 0.843 0.938
5 Hf 0.388 0.035 0.241
6 Hf 0.388 0.465 0.741
7 Hf 0.612 0.535 0.259
8 Hf 0.612 0.965 0.759
9 Hf 0.728 0.157 0.062
10 Hf 0.728 0.343 0.562
11 Hf 0.912 0.692 0.062
12 Hf 0.912 0.808 0.562
13 Os 0.170 0.118 0.734
14 Os 0.170 0.382 0.234
15 Os 0.830 0.618 0.766
16 Os 0.830 0.882 0.266
17 S 0.500 0.000 0.500
18 S 0.500 0.500 0.000


Entry 21:
Entry from Alexandria via LeMat-Bulk: a relaxed KCaNpCl6 crystal (PBE).

formation energy (no corrections) = -2.019 eV per atom
symmetry = P-31c, No. 163

abc: 7.228 7.228 13.490
angles: 90.00 90.00 120.00
Fractional positions:
1 K 0.000 0.000 0.000
2 K 0.000 0.000 0.500
3 Ca 0.333 0.667 0.250
4 Ca 0.667 0.333 0.750
5 Np 0.333 0.667 0.750
6 Np 0.667 0.333 0.250
7 Cl 0.001 0.367 0.638
8 Cl 0.001 0.634 0.862
9 Cl 0.366 0.367 0.862
10 Cl 0.366 0.999 0.638
11 Cl 0.367 0.001 0.138
12 Cl 0.367 0.366 0.362
13 Cl 0.633 0.634 0.638
14 Cl 0.633 0.999 0.862
15 Cl 0.634 0.001 0.362
16 Cl 0.634 0.633 0.138
17 Cl 0.999 0.366 0.138
18 Cl 0.999 0.633 0.362


Entry 22:
Entry from Alexandria via LeMat-Bulk: a relaxed NbInAu2 crystal (PBE).

calculated formation energy = 1.0 eV/f.u.
symmetry = I-42d, No. 122

abc: 6.086 6.086 6.086
angles: 103.90 103.90 121.31
Fractional positions:
1 Nb 0.000 0.000 0.000
2 Nb 0.750 0.250 0.500
3 In 0.250 0.750 0.500
4 In 0.500 0.500 0.000
5 Au 0.118 0.625 0.993
6 Au 0.375 0.368 0.493
7 Au 0.632 0.125 0.007
8 Au 0.875 0.882 0.507


Entry 23:
Entry from Alexandria via LeMat-Bulk: a relaxed Ac2NiH crystal (PBE).

symmetry = R3m, No. 160
E above lowest polymorph = 82 meV per atom

abc: 7.521 7.521 7.521
angles: 31.65 31.65 31.65
Fractional positions:
1 Ac 0.000 0.000 0.000
2 Ac 0.173 0.173 0.173
3 Ni 0.585 0.585 0.585
4 H 0.414 0.414 0.414


| no. | size of the total moment (Bohr magnetons per cell) | uncorrected energy (eV for the cell shown) |
| --- | --- | --- |
| 1 | 0.24 | -30.12 |
| 2 | 0.00 | -67.01 |
| 3 | 5.75 | -62.06 |
| 4 | 0.00 | -39.80 |
| 5 | 0.00 | -18.40 |
| 6 | 0.31 | -28.32 |
| 7 | 0.00 | -58.64 |
| 8 | 1.98 | -32.80 |
| 9 | 0.00 | -12.75 |
| 10 | 0.00 | -41.47 |
| 11 | 8.07 | -38.22 |
| 12 | 2.00 | -52.07 |
| 13 | 0.00 | -70.55 |
| 14 | 0.00 | -28.77 |
| 15 | 0.00 | -70.81 |
| 16 | 0.00 | -57.39 |
| 17 | 0.00 | -40.53 |
| 18 | 0.00 | -72.18 |
| 19 | 0.00 | -20.33 |
| 20 | 0.00 | -181.67 |
| 21 | 8.00 | -90.58 |
| 22 | 0.00 | -36.70 |
| 23 | 0.00 | -18.03 |